No. 1
Density functional theory data (PBE) for an optimized crystal structure of ZrRu3Br. Values from VASP.

Properties
* DOS(E_F): 7.8 states/eV/f.u.
* formation energy from raw total energies: 1053 meV/atom
* offset from the most stable computed form: 0 meV/atom
* E_tot: -6.56 eV per atom

Cell and atoms, written as Quantum ESPRESSO input:
```
&SYSTEM
  ibrav = 0, nat = 5, ntyp = 3
/
ATOMIC_SPECIES
Ru 101.07 Ru.upf
Br 79.90 Br.upf
Zr 91.22 Zr.upf
ATOMIC_POSITIONS crystal
Ru 0.0000 0.5000 0.0000
Ru 0.0000 0.0000 0.5000
Ru 0.5000 0.0000 0.0000
Br 0.0000 0.0000 0.0000
Zr 0.5000 0.5000 0.5000
CELL_PARAMETERS angstrom
4.5450 0.0000 0.0000
0.0000 4.5450 0.0000
0.0000 0.0000 4.5450
```

***

No. 2
Density functional theory data (PBE) for an optimized crystal structure of KRb2TlZn. Values from VASP.

Properties
* DOS(E_F): 2.2 states/eV/f.u.
* formation enthalpy at 0 K: 0.130 eV/atom
* offset from the most stable computed form: 42 meV/atom
* E_tot: -1.20 eV per atom

Cell and atoms, written as Quantum ESPRESSO input:
```
&SYSTEM
  ibrav = 0, nat = 5, ntyp = 4
/
ATOMIC_SPECIES
K 39.10 K.upf
Tl 204.38 Tl.upf
Zn 65.41 Zn.upf
Rb 85.47 Rb.upf
ATOMIC_POSITIONS crystal
K 0.5000 0.5000 0.5000
Tl 0.0000 0.0000 0.0000
Zn 0.0000 0.0000 0.5000
Rb 0.0000 0.5000 0.0000
Rb 0.5000 0.0000 0.0000
CELL_PARAMETERS angstrom
7.2747 0.0000 0.0000
0.0000 7.2747 0.0000
0.0000 0.0000 5.4618
```

***

No. 3
Density functional theory data (PBE) for an optimized crystal structure of PaAl2IrO8. Values from VASP.

Properties
* DOS(E_F): 4.4 states/eV/f.u.
* formation energy from raw total energies: -2390 meV/atom
* E_tot: -7.85 eV per atom

Cell and atoms, written as Quantum ESPRESSO input:
```
&SYSTEM
  ibrav = 0, nat = 12, ntyp = 4
/
ATOMIC_SPECIES
Pa 231.04 Pa.upf
Al 26.98 Al.upf
Ir 192.22 Ir.upf
O 16.00 O.upf
ATOMIC_POSITIONS crystal
Pa 0.0000 0.0000 0.5000
Al 0.5000 0.5000 0.7569
Al 0.5000 0.5000 0.2431
Ir 0.0000 0.0000 0.0000
O 0.2172 0.7824 0.2280
O 0.7003 0.7005 0.0000
O 0.7827 0.2176 0.2280
O 0.7828 0.2176 0.7720
O 0.2997 0.2995 0.0000
O 0.2173 0.7824 0.7720
O 0.6785 0.6789 0.5000
O 0.3215 0.3211 0.5000
CELL_PARAMETERS angstrom
4.6798 -0.0589 -0.0029
-0.0248 4.6793 -0.0053
0.0040 0.0070 6.1197
```

***

No. 4
Density functional theory data (PBE) for an optimized crystal structure of Nb3HAu. Values from VASP.

Properties
* DOS(E_F): 9.1 states/eV/f.u.
* offset from the most stable computed form: 2370 meV/atom
* E_tot: -5.13 eV per atom

Cell and atoms, written as Quantum ESPRESSO input:
```
&SYSTEM
  ibrav = 0, nat = 5, ntyp = 3
/
ATOMIC_SPECIES
H 1.01 H.upf
Nb 92.91 Nb.upf
Au 196.97 Au.upf
ATOMIC_POSITIONS crystal
H 0.5000 0.5000 0.5000
Nb 0.0000 0.5000 0.0000
Nb 0.0000 0.0000 0.5000
Nb 0.5000 0.0000 0.0000
Au 0.0000 0.0000 0.0000
CELL_PARAMETERS angstrom
5.0076 0.0000 0.0000
0.0000 5.0076 0.0000
0.0000 0.0000 5.0076
```

***

No. 5
Density functional theory data (PBE) for an optimized crystal structure of BeCuRu2. Values from VASP.

Properties
* DOS(E_F): 3.5 states/eV/f.u.
* formation enthalpy at 0 K: 0.161 eV/atom
* E_tot: -6.43 eV per atom

Cell and atoms, written as Quantum ESPRESSO input:
```
&SYSTEM
  ibrav = 0, nat = 4, ntyp = 3
/
ATOMIC_SPECIES
Ru 101.07 Ru.upf
Cu 63.55 Cu.upf
Be 9.01 Be.upf
ATOMIC_POSITIONS crystal
Ru 0.0000 0.0000 0.0000
Ru 0.7500 0.7500 0.7500
Cu 0.2500 0.2500 0.2500
Be 0.5000 0.5000 0.5000
CELL_PARAMETERS angstrom
4.1332 0.0000 0.0000
2.0666 3.5795 0.0000
2.0666 1.1932 3.3748
```

***

No. 6
Density functional theory data (PBE) for an optimized crystal structure of Cs3In2Bi4Pb2. Values from VASP.

Properties
* DOS(E_F): 4.5 states/eV/f.u.
* formation enthalpy at 0 K: -0.191 eV/atom
* E_tot: -3.01 eV per atom

Cell and atoms, written as Quantum ESPRESSO input:
```
&SYSTEM
  ibrav = 0, nat = 11, ntyp = 4
/
ATOMIC_SPECIES
Cs 132.91 Cs.upf
In 114.82 In.upf
Bi 208.98 Bi.upf
Pb 207.20 Pb.upf
ATOMIC_POSITIONS crystal
Cs 0.0000 0.0000 0.7176
Cs 0.0000 0.0000 0.0000
Cs 0.0000 0.0000 0.2824
In 0.6667 0.3333 0.8562
In 0.3333 0.6667 0.1438
Bi 0.6667 0.3333 0.1417
Bi 0.3333 0.6667 0.8583
Bi 0.6667 0.3333 0.5962
Bi 0.3333 0.6667 0.4038
Pb 0.6667 0.3333 0.4446
Pb 0.3333 0.6667 0.5554
CELL_PARAMETERS angstrom
-1.2574 -4.8368 1.9983
3.8477 0.4507 -3.7365
14.1579 2.4656 14.8766
```

***

No. 7
Density functional theory data (PBE) for an optimized crystal structure of Te2POs. Values from VASP.

Properties
* DOS(E_F): 1.7 states/eV/f.u.
* formation energy from raw total energies: 664 meV/atom
* offset from the most stable computed form: 567 meV/atom
* E_tot: -5.07 eV per atom

Cell and atoms, written as Quantum ESPRESSO input:
```
&SYSTEM
  ibrav = 0, nat = 4, ntyp = 3
/
ATOMIC_SPECIES
Te 127.60 Te.upf
P 30.97 P.upf
Os 190.23 Os.upf
ATOMIC_POSITIONS crystal
Te 0.0000 0.5000 0.5000
Te 0.5000 0.0000 0.5000
P 0.5000 0.5000 0.0000
Os 0.0000 0.0000 0.0000
CELL_PARAMETERS angstrom
3.4629 -0.2593 3.2864
-2.3923 4.0596 0.8094
-2.9173 -3.7748 0.3143
```

***

No. 8
Density functional theory data (PBE) for an optimized crystal structure of LaMgGa2Ge. Values from VASP.

Properties
* DOS(E_F): 1.8 states/eV/f.u.
* formation enthalpy at 0 K: 0.113 eV/atom
* E_tot: -3.33 eV per atom

Cell and atoms, written as Quantum ESPRESSO input:
```
&SYSTEM
  ibrav = 0, nat = 5, ntyp = 4
/
ATOMIC_SPECIES
Ge 72.64 Ge.upf
Mg 24.30 Mg.upf
Ga 69.72 Ga.upf
La 138.91 La.upf
ATOMIC_POSITIONS crystal
Ge 0.0000 0.0000 0.0000
Mg 0.5000 0.5000 0.5000
Ga 0.0000 0.5000 0.0000
Ga 0.5000 0.0000 0.0000
La 0.0000 0.0000 0.5000
CELL_PARAMETERS angstrom
-1.6187 -4.0652 -2.4517
3.7957 -2.6640 1.9112
-3.2503 -1.4120 4.4871
```

***

M_tot (μB/atom)
0.22, 0.00, 0.05, 0.00, 0.00, 0.00, 0.00, 0.00